1.
VASP calculation (PBE-GGA) on Mn2ReAu after structural relaxation.

a = 2.7665 Å, b = 2.7665 Å, c = 26.3541 Å
α = 90.00°, β = 90.00°, γ = 120.00°
Last column: nearest neighbours and their distance in Å.
Positions (direct):
Mn 0.0000 0.0000 0.0000  3 Re 2.52, 9 Mn 2.56-2.77
Mn 0.0000 0.0000 0.2575  9 Mn 2.56-2.77, 3 Au 2.80
Mn 0.3333 0.6667 0.6667  3 Re 2.52, 9 Mn 2.56-2.77
Mn 0.3333 0.6667 0.9242  9 Mn 2.56-2.77, 3 Au 2.80
Mn 0.6667 0.3333 0.3333  3 Re 2.52, 9 Mn 2.56-2.77
Mn 0.6667 0.3333 0.5908  9 Mn 2.56-2.77, 3 Au 2.80
Re 0.0000 0.0000 0.7406  3 Mn 2.52, 6 Re 2.77
Re 0.3333 0.6667 0.4073  3 Mn 2.52, 6 Re 2.77
Re 0.6667 0.3333 0.0739  3 Mn 2.52, 6 Re 2.77
Au 0.0000 0.0000 0.5033  6 Au 2.77, 3 Mn 2.80, 3 Re 2.99
Au 0.3333 0.6667 0.1700  6 Au 2.77, 3 Mn 2.80, 3 Re 2.99
Au 0.6667 0.3333 0.8367  6 Au 2.77, 3 Mn 2.80, 3 Re 2.99

Calculated values
As for the space group: R3m, No. 160. For the total energy, the calculation gives -8.235 eV/atom. Its relative energy among the computed polymorphs is 0.156 eV per atom.



2.
VASP calculation (PBE-GGA) on MnRe2Au after structural relaxation.

a = 9.2068 Å, b = 2.8067 Å, c = 4.7134 Å
α = 90.00°, β = 101.86°, γ = 90.00°
Last column: nearest neighbours and their distance in Å.
Positions (direct):
Mn 0.0000 0.0000 0.0000  6 Re 2.66-2.83, 4 Au 2.74, 2 Mn 2.81
Mn 0.5000 0.5000 0.0000  6 Re 2.66-2.83, 4 Au 2.74, 2 Mn 2.81
Re 0.2407 0.5000 0.2340  6 Re 2.65-2.85, 3 Mn 2.66-2.83, 3 Au 2.76-2.83
Re 0.2593 0.0000 0.7660  6 Re 2.65-2.85, 3 Mn 2.66-2.83, 3 Au 2.76-2.83
Re 0.7407 0.0000 0.2340  6 Re 2.65-2.85, 3 Mn 2.66-2.83, 3 Au 2.76-2.83
Re 0.7593 0.5000 0.7660  6 Re 2.65-2.85, 3 Mn 2.66-2.83, 3 Au 2.76-2.83
Au 0.0000 0.5000 0.5000  4 Mn 2.74, 6 Re 2.76-2.83, 2 Au 2.81
Au 0.5000 0.0000 0.5000  4 Mn 2.74, 6 Re 2.76-2.83, 2 Au 2.81

Calculated values
As for the space group: C2/m, No. 12. For the total energy, the calculation gives -9.032 eV/atom. Its relative energy among the computed polymorphs is 0.103 eV per atom.



3.
VASP calculation (PBE-GGA) on MnReAu2 after structural relaxation.

a = 4.0165 Å, b = 4.0165 Å, c = 7.9736 Å
α = 90.00°, β = 90.00°, γ = 90.00°
Last column: nearest neighbours and their distance in Å.
Positions (direct):
Mn 0.0000 0.0000 0.0000  8 Au 2.83, 4 Re 2.84
Mn 0.5000 0.5000 0.5000  8 Au 2.83, 4 Re 2.84
Re 0.0000 0.0000 0.5000  8 Au 2.83, 4 Mn 2.84
Re 0.5000 0.5000 0.0000  8 Au 2.83, 4 Mn 2.84
Au 0.0000 0.5000 0.2500  4 Mn 2.83, 4 Re 2.83, 4 Au 2.84
Au 0.0000 0.5000 0.7500  4 Mn 2.83, 4 Re 2.83, 4 Au 2.84
Au 0.5000 0.0000 0.2500  4 Mn 2.83, 4 Re 2.83, 4 Au 2.84
Au 0.5000 0.0000 0.7500  4 Mn 2.83, 4 Re 2.83, 4 Au 2.84

Calculated values
As for the space group: I4/mmm, No. 139. For the total energy, the calculation gives -6.600 eV/atom. Its relative energy among the computed polymorphs is 0.242 eV per atom.



4.
VASP calculation (PBE-GGA) on MnRe2Au after structural relaxation.

a = 6.2689 Å, b = 6.2689 Å, c = 6.2689 Å
α = 90.00°, β = 90.00°, γ = 90.00°
Last column: nearest neighbours and their distance in Å.
Positions (direct):
Mn 0.0000 0.0000 0.0000  4 Re 2.71, 4 Au 2.71
Mn 0.0000 0.5000 0.5000  4 Re 2.71, 4 Au 2.71
Mn 0.5000 0.0000 0.5000  4 Re 2.71, 4 Au 2.71
Mn 0.5000 0.5000 0.0000  4 Re 2.71, 4 Au 2.71
Re 0.0000 0.0000 0.5000  4 Au 2.71, 4 Re 2.71
Re 0.0000 0.5000 0.0000  4 Au 2.71, 4 Re 2.71
Re 0.2500 0.2500 0.7500  4 Mn 2.71, 4 Re 2.71
Re 0.2500 0.7500 0.2500  4 Mn 2.71, 4 Re 2.71
Re 0.5000 0.0000 0.0000  4 Au 2.71, 4 Re 2.71
Re 0.5000 0.5000 0.5000  4 Au 2.71, 4 Re 2.71
Re 0.7500 0.2500 0.2500  4 Mn 2.71, 4 Re 2.71
Re 0.7500 0.7500 0.7500  4 Mn 2.71, 4 Re 2.71
Au 0.2500 0.2500 0.2500  4 Mn 2.71, 4 Re 2.71
Au 0.2500 0.7500 0.7500  4 Mn 2.71, 4 Re 2.71
Au 0.7500 0.2500 0.7500  4 Mn 2.71, 4 Re 2.71
Au 0.7500 0.7500 0.2500  4 Mn 2.71, 4 Re 2.71

Calculated values
As for the space group: F-43m, No. 216. For the total energy, the calculation gives -8.876 eV/atom. Its relative energy among the computed polymorphs is 0.259 eV per atom.



5.
VASP calculation (PBE-GGA) on MnReAu2 after structural relaxation.

a = 2.7723 Å, b = 2.7723 Å, c = 28.1971 Å
α = 90.00°, β = 90.00°, γ = 120.00°
Last column: nearest neighbours and their distance in Å.
Positions (direct):
Mn 0.0000 0.0000 0.0000  3 Re 2.49, 6 Mn 2.77
Mn 0.3333 0.6667 0.6667  3 Re 2.49, 6 Mn 2.77
Mn 0.6667 0.3333 0.3333  3 Re 2.49, 6 Mn 2.77
Re 0.0000 0.0000 0.7344  3 Mn 2.49, 6 Re 2.77
Re 0.3333 0.6667 0.4011  3 Mn 2.49, 6 Re 2.77
Re 0.6667 0.3333 0.0677  3 Mn 2.49, 6 Re 2.77
Au 0.0000 0.0000 0.2514  9 Au 2.77-3.09, 3 Mn 2.81
Au 0.0000 0.0000 0.4911  9 Au 2.77-3.09, 3 Re 3.00
Au 0.3333 0.6667 0.1578  9 Au 2.77-3.09, 3 Re 3.00
Au 0.3333 0.6667 0.9181  9 Au 2.77-3.09, 3 Mn 2.81
Au 0.6667 0.3333 0.5848  9 Au 2.77-3.09, 3 Mn 2.81
Au 0.6667 0.3333 0.8244  9 Au 2.77-3.09, 3 Re 3.00

Calculated values
As for the space group: R3m, No. 160. For the total energy, the calculation gives -6.794 eV/atom. Its relative energy among the computed polymorphs is 0.049 eV per atom.



6.
VASP calculation (PBE-GGA) on MnRe2Au after structural relaxation.

a = 3.9549 Å, b = 3.9549 Å, c = 7.6259 Å
α = 90.00°, β = 90.00°, γ = 90.00°
Last column: nearest neighbours and their distance in Å.
Positions (direct):
Mn 0.0000 0.0000 0.0000  8 Re 2.75-2.80, 4 Au 2.75
Mn 0.5000 0.5000 0.5000  8 Re 2.75-2.80, 4 Au 2.75
Re 0.0000 0.0000 0.5000  4 Re 2.75, 4 Au 2.75, 4 Mn 2.80
Re 0.0000 0.5000 0.2500  4 Re 2.75, 4 Mn 2.75, 4 Au 2.80
Re 0.5000 0.0000 0.7500  4 Mn 2.75, 4 Re 2.75, 4 Au 2.80
Re 0.5000 0.5000 0.0000  4 Re 2.75, 4 Au 2.75, 4 Mn 2.80
Au 0.0000 0.5000 0.7500  4 Mn 2.75, 8 Re 2.75-2.80
Au 0.5000 0.0000 0.2500  8 Re 2.75-2.80, 4 Mn 2.75

Calculated values
As for the space group: I-4m2, No. 119. For the total energy, the calculation gives -9.062 eV/atom. Its relative energy among the computed polymorphs is 0.073 eV per atom.



7.
VASP calculation (PBE-GGA) on MnReAu2 after structural relaxation.

a = 4.8874 Å, b = 4.8874 Å, c = 2.7712 Å
α = 90.00°, β = 90.00°, γ = 90.00°
Last column: nearest neighbours and their distance in Å.
Positions (direct):
Mn 0.0000 0.0000 0.0000  2 Mn 2.77, 8 Au 2.81
Re 0.5000 0.5000 0.0000  2 Re 2.77, 8 Au 2.81
Au 0.0000 0.5000 0.5000  2 Au 2.77, 4 Mn 2.81, 4 Re 2.81
Au 0.5000 0.0000 0.5000  2 Au 2.77, 4 Mn 2.81, 4 Re 2.81

Calculated values
As for the space group: P4/mmm, No. 123. For the total energy, the calculation gives -6.584 eV/atom. Its relative energy among the computed polymorphs is 0.258 eV per atom.



8.
VASP calculation (PBE-GGA) on MnRe2Au after structural relaxation.

a = 6.2238 Å, b = 6.2238 Å, c = 6.2238 Å
α = 90.00°, β = 90.00°, γ = 90.00°
Last column: nearest neighbours and their distance in Å.
Positions (direct):
Mn 0.0000 0.0000 0.0000  8 Re 2.69
Mn 0.0000 0.5000 0.5000  8 Re 2.69
Mn 0.5000 0.0000 0.5000  8 Re 2.69
Mn 0.5000 0.5000 0.0000  8 Re 2.69
Re 0.2500 0.2500 0.2500  4 Au 2.69, 4 Mn 2.69
Re 0.2500 0.2500 0.7500  4 Mn 2.69, 4 Au 2.69
Re 0.2500 0.7500 0.2500  4 Mn 2.69, 4 Au 2.69
Re 0.2500 0.7500 0.7500  4 Au 2.69, 4 Mn 2.69
Re 0.7500 0.2500 0.2500  4 Mn 2.69, 4 Au 2.69
Re 0.7500 0.2500 0.7500  4 Au 2.69, 4 Mn 2.69
Re 0.7500 0.7500 0.2500  4 Au 2.69, 4 Mn 2.69
Re 0.7500 0.7500 0.7500  4 Mn 2.69, 4 Au 2.69
Au 0.0000 0.0000 0.5000  8 Re 2.69
Au 0.0000 0.5000 0.0000  8 Re 2.69
Au 0.5000 0.0000 0.0000  8 Re 2.69
Au 0.5000 0.5000 0.5000  8 Re 2.69

Calculated values
As for the space group: Fm-3m, No. 225. For the total energy, the calculation gives -8.666 eV/atom. Its relative energy among the computed polymorphs is 0.469 eV per atom.



9.
VASP calculation (PBE-GGA) on Mn2ReAu after structural relaxation.

a = 2.7380 Å, b = 2.7380 Å, c = 7.6348 Å
α = 90.00°, β = 90.00°, γ = 90.00°
Last column: nearest neighbours and their distance in Å.
Positions (direct):
Mn 0.0000 0.0000 0.0000  8 Mn 2.55-2.74
Mn 0.5000 0.5000 0.2164  4 Re 2.54, 8 Mn 2.55-2.74
Re 0.0000 0.0000 0.4321  4 Mn 2.54, 4 Re 2.74
Au 0.5000 0.5000 0.7255  4 Au 2.74, 4 Mn 2.85, 4 Re 2.96

Calculated values
As for the space group: P4mm, No. 99. For the total energy, the calculation gives -8.304 eV/atom. Its relative energy among the computed polymorphs is 0.087 eV per atom.



10.
VASP calculation (PBE-GGA) on MnRe2Au after structural relaxation.

a = 9.1510 Å, b = 2.7367 Å, c = 4.8893 Å
α = 90.00°, β = 99.70°, γ = 90.00°
Last column: nearest neighbours and their distance in Å.
Positions (direct):
Mn 0.0000 0.0000 0.0000  7 Re 2.68-2.93, 3 Au 2.69-2.77, 2 Mn 2.74
Mn 0.5000 0.5000 0.0000  7 Re 2.68-2.93, 3 Au 2.69-2.77, 2 Mn 2.74
Re 0.0088 0.5000 0.5204  5 Re 2.63-2.77, 4 Mn 2.73-2.88, 3 Au 2.84-2.86
Re 0.2650 0.0000 0.7384  5 Re 2.63-2.77, 3 Mn 2.68-2.93, 4 Au 2.80-2.81
Re 0.5088 0.0000 0.5204  5 Re 2.63-2.77, 4 Mn 2.73-2.88, 3 Au 2.84-2.86
Re 0.7650 0.5000 0.7384  5 Re 2.63-2.77, 3 Mn 2.68-2.93, 4 Au 2.80-2.81
Au 0.2533 0.5000 0.2330  3 Mn 2.69-2.77, 2 Au 2.74, 7 Re 2.80-2.86
Au 0.7533 0.0000 0.2330  3 Mn 2.69-2.77, 2 Au 2.74, 7 Re 2.80-2.86

Calculated values
As for the space group: Cm, No. 8. For the total energy, the calculation gives -9.015 eV/atom. Its relative energy among the computed polymorphs is 0.120 eV per atom.



11.
VASP calculation (PBE-GGA) on Mn2ReAu after structural relaxation.

a = 2.7045 Å, b = 3.8707 Å, c = 5.5130 Å
α = 90.00°, β = 92.02°, γ = 90.00°
Last column: nearest neighbours and their distance in Å.
Positions (direct):
Mn 0.0000 0.0000 0.0000  1 Re 2.50, 6 Mn 2.70-2.71, 4 Au 2.75
Mn 0.4786 0.5000 0.7597  4 Re 2.52-2.75, 6 Mn 2.70-2.71, 2 Au 2.73-2.78
Re 0.0471 0.0000 0.5488  5 Mn 2.50-2.75, 2 Re 2.70
Au 0.5155 0.5000 0.2560  2 Au 2.70, 6 Mn 2.73-2.78, 4 Re 2.85-2.87

Calculated values
As for the space group: Pm, No. 6. For the total energy, the calculation gives -8.289 eV/atom. Its relative energy among the computed polymorphs is 0.102 eV per atom.



12.
VASP calculation (PBE-GGA) on Mn2ReAu after structural relaxation.

a = 3.9222 Å, b = 3.9222 Å, c = 3.5963 Å
α = 90.00°, β = 90.00°, γ = 90.00°
Last column: nearest neighbours and their distance in Å.
Positions (direct):
Mn 0.0000 0.5000 0.0000  4 Re 2.66, 4 Au 2.66, 4 Mn 2.77
Mn 0.5000 0.0000 0.0000  4 Re 2.66, 4 Au 2.66, 4 Mn 2.77
Re 0.0000 0.0000 0.5000  8 Mn 2.66, 4 Au 2.77
Au 0.5000 0.5000 0.5000  8 Mn 2.66, 4 Re 2.77

Calculated values
As for the space group: P4/mmm, No. 123. For the total energy, the calculation gives -8.198 eV/atom. Its relative energy among the computed polymorphs is 0.193 eV per atom.



13.
VASP calculation (PBE-GGA) on MnReAu2 after structural relaxation.

a = 4.0504 Å, b = 4.0504 Å, c = 7.7835 Å
α = 90.00°, β = 90.00°, γ = 90.00°
Last column: nearest neighbours and their distance in Å.
Positions (direct):
Mn 0.0000 0.0000 0.0000  4 Re 2.81, 8 Au 2.81-2.86
Mn 0.5000 0.5000 0.5000  4 Re 2.81, 8 Au 2.81-2.86
Re 0.0000 0.5000 0.7500  4 Mn 2.81, 8 Au 2.81-2.86
Re 0.5000 0.0000 0.2500  4 Mn 2.81, 8 Au 2.81-2.86
Au 0.0000 0.0000 0.5000  4 Re 2.81, 4 Au 2.81, 4 Mn 2.86
Au 0.0000 0.5000 0.2500  4 Mn 2.81, 4 Au 2.81, 4 Re 2.86
Au 0.5000 0.0000 0.7500  4 Mn 2.81, 4 Au 2.81, 4 Re 2.86
Au 0.5000 0.5000 0.0000  4 Re 2.81, 4 Au 2.81, 4 Mn 2.86

Calculated values
As for the space group: I-4m2, No. 119. For the total energy, the calculation gives -6.641 eV/atom. Its relative energy among the computed polymorphs is 0.201 eV per atom.



14.
VASP calculation (PBE-GGA) on Mn2ReAu after structural relaxation.

a = 2.8276 Å, b = 2.8276 Å, c = 7.4249 Å
α = 90.00°, β = 90.00°, γ = 90.00°
Last column: nearest neighbours and their distance in Å.
Positions (direct):
Mn 0.0000 0.0000 0.2290  4 Re 2.62, 4 Mn 2.83, 4 Au 2.84
Mn 0.0000 0.0000 0.7710  4 Re 2.62, 4 Mn 2.83, 4 Au 2.84
Re 0.5000 0.5000 0.0000  8 Mn 2.62, 4 Re 2.83
Au 0.5000 0.5000 0.5000  4 Au 2.83, 8 Mn 2.84

Calculated values
As for the space group: P4/mmm, No. 123. For the total energy, the calculation gives -8.391 eV/atom. Its relative energy among the computed polymorphs is 0.000 eV per atom.



15.
VASP calculation (PBE-GGA) on MnReAu2 after structural relaxation.

a = 9.4586 Å, b = 2.7954 Å, c = 4.9283 Å
α = 90.00°, β = 99.26°, γ = 90.00°
Last column: nearest neighbours and their distance in Å.
Positions (direct):
Mn 0.0000 0.0000 0.0000  2 Mn 2.80, 6 Au 2.83-2.86, 4 Re 2.83
Mn 0.5000 0.5000 0.0000  2 Mn 2.80, 6 Au 2.83-2.86, 4 Re 2.83
Re 0.0000 0.5000 0.5000  2 Re 2.80, 4 Mn 2.83, 6 Au 2.84-2.85
Re 0.5000 0.0000 0.5000  2 Re 2.80, 4 Mn 2.83, 6 Au 2.84-2.85
Au 0.2485 0.0000 0.7493  6 Au 2.80-2.83, 3 Mn 2.83-2.86, 3 Re 2.84-2.85
Au 0.2515 0.5000 0.2507  6 Au 2.80-2.83, 3 Mn 2.83-2.86, 3 Re 2.84-2.85
Au 0.7485 0.5000 0.7493  6 Au 2.80-2.83, 3 Mn 2.83-2.86, 3 Re 2.84-2.85
Au 0.7515 0.0000 0.2507  6 Au 2.80-2.83, 3 Mn 2.83-2.86, 3 Re 2.84-2.85

Calculated values
As for the space group: C2/m, No. 12. For the total energy, the calculation gives -6.636 eV/atom. Its relative energy among the computed polymorphs is 0.206 eV per atom.



no.,size of the total moment (μB per atom),volume (Å³ per cell),formation energy (eV/atom)
1,1.002,174.7,0.282
2,0.447,119.2,0.303
3,0.548,128.6,0.443
4,0.760,246.4,0.460
5,0.000,187.7,0.250
6,0.621,119.3,0.273
7,1.105,66.2,0.459
8,0.505,241.1,0.670
9,0.671,57.2,0.212
10,0.614,120.7,0.321
11,0.335,57.7,0.227
12,0.689,55.3,0.318
13,0.465,127.7,0.402
14,1.409,59.4,0.125
15,0.732,128.6,0.407